A relaxed YSc3O crystal, computed with GGA-PBE.

a = 5.7506 Å, b = 8.7307 Å, c = 8.4473 Å
α = 102.16°, β = 90.00°, γ = 90.00°
Fractional coordinates of all 20 atoms:
Y (0.8950, 0.5644, 0.1882)
Y (0.3950, 0.4356, 0.3118)
Y (0.1050, 0.4356, 0.8118)
Y (0.6050, 0.5644, 0.6882)
O (0.2531, 0.9396, 0.0596)
O (0.2469, 0.9396, 0.5596)
O (0.7531, 0.0604, 0.4404)
O (0.7469, 0.0604, 0.9404)
Sc (0.9245, 0.8325, 0.9421)
Sc (0.4167, 0.9457, 0.8158)
Sc (0.5924, 0.2908, 0.9348)
Sc (0.5755, 0.8325, 0.4421)
Sc (0.4076, 0.7092, 0.0652)
Sc (0.4245, 0.1675, 0.5579)
Sc (0.9167, 0.0543, 0.6842)
Sc (0.0924, 0.7092, 0.5652)
Sc (0.0755, 0.1675, 0.0579)
Sc (0.0833, 0.9457, 0.3158)
Sc (0.5833, 0.0543, 0.1842)
Sc (0.9076, 0.2908, 0.4348)

Formation energy (no corrections)   -5.662 eV/f.u.
Space-group type   P2_1/c (14)
Raw total energy   -7.216 eV/atom
Relative energy among the computed polymorphs   0.0 kJ per mole of atoms
Fermi-level density of states   1.152 states/eV per atom